## AgAs2P (meta-GGA SCAN)

Data for a crystal of AgAs2P relaxed with PBEsol.

Its formation energy is 0.470 eV per atom. The density of states at the Fermi level is 3.0 states/eV per cell.

The space group is P4/nmm (No. 129, origin choice 2) and the conventional cell measures 3.709, 3.709 and 10.409 Å, with angles of 90.00, 90.00 and 90.00 degrees. The inequivalent atoms are Ag at (0.250, 0.750, 0.000), As at (0.250, 0.250, 0.207), As at (0.250, 0.750, 0.500) and P at (0.250, 0.250, 0.727).